#one
A plane-wave DFT calculation with PBE was carried out for a geometry-optimized InBW structure.

Unit cell a=5.6542 b=5.6542 c=5.6542 alpha=90.00 beta=90.00 gamma=90.00
Space group F-43m (No. 216)
One atom of each set of equivalent atoms:
In: 0.0000 0.0000 0.0000 x4
B: 0.2500 0.2500 0.2500 x4
W: 0.0000 0.0000 0.5000 x4

#two
A plane-wave DFT calculation with PBE was carried out for a geometry-optimized InBW structure.

Unit cell a=6.0075 b=6.0075 c=6.0075 alpha=90.00 beta=90.00 gamma=90.00
Space group F-43m (No. 216)
One atom of each set of equivalent atoms:
In: 0.0000 0.0000 0.0000 x4
B: 0.0000 0.0000 0.5000 x4
W: 0.2500 0.2500 0.7500 x4

Which structure is most stable, and how do the rest compare? From most to least stable: #one, #two.